Crystalline Cs2NaHgH at its relaxed geometry, computed with PBE.

Summary:
The value obtained for the magnetization is 0.00 μB/cell. The polymorph energy (0 for the lowest one) is 0 meV/atom.

a b c (Å): 6.2307 6.2307 5.0884
angles (deg): 90.00 90.00 90.00
Space group P4/mmm (No. 123)
Inequivalent atoms, fractional coordinates:
Cs1 0.0000 0.5000 0.0000
Na1 0.0000 0.0000 0.5000
Hg1 0.5000 0.5000 0.5000
H1 0.0000 0.0000 0.0000